# 1
Ru3Rh: relaxed, GGA-PBEsol.

Computed properties:
The value obtained for the energy of formation from the pure elements is 0.01 eV/atom. The value obtained for the calculated volume is 53.2 Å³/f.u.

Lattice parameters (Å, degrees): 2.688 4.252 4.659 90.00 90.00 90.00
Space group Pmm2 (No. 25)
Symmetry-distinct sites (fractional):
Ru (0.000, 0.000, 0.000) [1 per cell]
Ru (0.000, 0.500, 0.331) [1 per cell]
Ru (0.500, 0.500, 0.833) [1 per cell]
Rh (0.500, 0.000, 0.500) [1 per cell]

# 2
CsTl3Te: relaxed, GGA-PBEsol.

Computed properties:
The formation energy (no corrections) comes out at 110 meV per atom. The value obtained for the calculated volume is 250.6 Å³/f.u.

Lattice parameters (Å, degrees): 6.305 6.305 6.305 90.00 90.00 90.00
Space group Pm-3m (No. 221)
Symmetry-distinct sites (fractional):
Cs (0.000, 0.000, 0.000) [1 per cell]
Tl (0.000, 0.500, 0.500) [3 per cell]
Te (0.500, 0.500, 0.500) [1 per cell]

# 3
LiTe2Br: relaxed, GGA-PBEsol.

Computed properties:
The formation energy (no corrections) comes out at -519 meV per atom. The value obtained for the calculated volume is 128.1 Å³/f.u. The distance to the lowest polymorph of the same formula is 0.0789 eV per atom.

Lattice parameters (Å, degrees): 4.109 4.109 30.337 90.00 90.00 90.00
Space group I-42d (No. 122)
Symmetry-distinct sites (fractional):
Li (0.000, 0.000, 0.000) [4 per cell]
Te (0.250, 0.250, 0.125) [8 per cell]
Br (0.000, 0.000, 0.500) [4 per cell]

# 4
KAu2: relaxed, GGA-PBEsol.

Computed properties:
The value obtained for the energy of formation from the pure elements is -0.24 eV/atom. The value obtained for the calculated volume is 65.8 Å³/f.u.

Lattice parameters (Å, degrees): 5.6138 5.6138 9.6416 90.00 90.00 120.00
Space group P6_3/mmc (No. 194)
Symmetry-distinct sites (fractional):
K (0.3333, 0.6667, 0.0611) [4 per cell]
Au (0.0000, 0.0000, 0.0000) [2 per cell]
Au (0.1671, 0.3342, 0.7500) [6 per cell]